(1)
# Sm4Sn3

Sm4Sn3 after structural relaxation (GGA-PBEsol, Alexandria via LeMat-Bulk).

Results
N(E_F)	2.2	states/eV/cell
DFT formation energy	-0.7757	eV/atom
symmetry	I-43d (220)

Unit cell a=8.083 b=8.083 c=8.083 alpha=109.47 beta=109.47 gamma=109.47
Fractional positions:
Sn 0.125 0.250 0.375
Sn 0.625 0.375 0.250
Sn 0.250 0.875 0.625
Sn 0.875 0.125 0.750
Sn 0.375 0.750 0.125
Sn 0.750 0.625 0.875
Sm 0.000 0.500 0.641
Sm 0.500 0.641 0.500
Sm 0.141 0.000 0.000
Sm 0.359 0.359 0.859
Sm 0.859 0.859 0.359
Sm 0.500 0.141 0.500
Sm 0.000 0.500 0.141
Sm 0.641 0.000 0.000

(2)
# Sm2Sn5

Sm2Sn5 after structural relaxation (GGA-PBEsol, Alexandria via LeMat-Bulk).

Results
N(E_F)	4.9	states/eV/cell
DFT formation energy	-0.6159	eV/atom
symmetry	Cmmm (65)

Unit cell a=4.529 b=4.566 c=17.436 alpha=90.00 beta=97.46 gamma=90.00
Fractional positions:
Sm 0.929 0.500 0.859
Sm 0.204 0.500 0.408
Sm 0.071 0.500 0.141
Sm 0.796 0.500 0.592
Sn 0.500 0.500 0.000
Sn 0.639 0.500 0.278
Sn 0.280 0.000 0.559
Sn 0.361 0.500 0.722
Sn 0.571 0.000 0.143
Sn 0.429 0.000 0.857
Sn 0.720 0.000 0.441
Sn 0.139 0.000 0.279
Sn 0.861 0.000 0.721
Sn 0.000 0.000 0.000

(3)
# SmSn3

SmSn3 after structural relaxation (GGA-PBEsol, Alexandria via LeMat-Bulk).

Results
N(E_F)	2.1	states/eV/cell
DFT formation energy	-0.5406	eV/atom
symmetry	Pm-3m (221)

Unit cell a=4.662 b=4.662 c=4.662 alpha=90.00 beta=90.00 gamma=90.00
Fractional positions:
Sm 0.000 0.000 0.000
Sn 0.500 0.000 0.500
Sn 0.000 0.500 0.500
Sn 0.500 0.500 0.000

(4)
# TbSm3

TbSm3 after structural relaxation (GGA-PBEsol, Alexandria via LeMat-Bulk).

Results
N(E_F)	13.2	states/eV/cell
DFT formation energy	0.0232	eV/atom
symmetry	P6_3/mmc (194)

Unit cell a=5.694 b=7.131 c=7.131 alpha=120.00 beta=90.00 gamma=90.00
Fractional positions:
Sm 0.250 0.167 0.833
Sm 0.250 0.167 0.334
Sm 0.250 0.666 0.833
Sm 0.750 0.833 0.167
Sm 0.750 0.334 0.167
Sm 0.750 0.833 0.666
Tb 0.750 0.333 0.667
Tb 0.250 0.667 0.333

(5)
# SmTe2

SmTe2 after structural relaxation (GGA-PBEsol, Alexandria via LeMat-Bulk).

Results
N(E_F)	0.8	states/eV/cell
E_form (uncorrected)	-1.2611	eV/atom
symmetry	P4/nmm (129)

Unit cell a=4.413 b=4.413 c=8.894 alpha=90.00 beta=90.00 gamma=90.00
Fractional positions:
Te 0.000 0.000 0.000
Te 0.500 0.000 0.630
Te 0.500 0.500 0.000
Te 0.000 0.500 0.370
Sm 0.500 0.000 0.270
Sm 0.000 0.500 0.730

(6)
# SmTe3

SmTe3 after structural relaxation (GGA-PBEsol, Alexandria via LeMat-Bulk).

Results
N(E_F)	2.5	states/eV/cell
E_form (uncorrected)	-0.9942	eV/atom
symmetry	Cmcm (63)

Unit cell a=4.301 b=4.303 c=13.082 alpha=90.00 beta=99.46 gamma=90.00
Fractional positions:
Sm 0.169 0.750 0.339
Sm 0.831 0.250 0.661
Te 0.928 0.750 0.855
Te 0.706 0.250 0.412
Te 0.427 0.250 0.855
Te 0.294 0.750 0.588
Te 0.573 0.750 0.145
Te 0.072 0.250 0.145

(7)
# SmTlTe2

SmTlTe2 after structural relaxation (GGA-PBEsol, Alexandria via LeMat-Bulk).

Results
E_form (uncorrected)	-1.0201	eV/atom
symmetry	R-3m (166)

Unit cell a=4.417 b=4.417 c=8.398 alpha=74.75 beta=74.75 gamma=60.00
Fractional positions:
Te 0.741 0.741 0.777
Te 0.259 0.259 0.223
Sm 0.000 0.000 0.000
Tl 0.500 0.500 0.500

(8)
# SmTl3

SmTl3 after structural relaxation (GGA-PBEsol, Alexandria via LeMat-Bulk).

Results
N(E_F)	2.2	states/eV/cell
DFT formation energy	-0.3546	eV/atom
symmetry	Pm-3m (221)

Unit cell a=4.693 b=4.693 c=4.693 alpha=90.00 beta=90.00 gamma=90.00
Fractional positions:
Tl 0.500 0.500 0.000
Tl 0.000 0.500 0.500
Tl 0.500 0.000 0.500
Sm 0.000 0.000 0.000